Entry 1:
This record from Alexandria describes a relaxed structure of Ce12CoPt6. The functional is GGA-PBE.

## Properties
- E_tot: -0.243 Ha/atom
- Energy of formation: -0.59 eV/atom
- Space-group type: R-3, No. 148
- D(E_F): 3.5255 states/eV per atom
- Calculated density: 9.1 g/cm³
- Total magnetic moment: 10.601 μB/cell

Cell lengths 8.146, 8.146, 8.146 Å; angles 96.69, 96.69, 96.69 degrees
Positions (direct):
Ce1 0.012 0.950 0.674
Ce2 0.050 0.326 0.988
Ce3 0.190 0.583 0.422
Ce4 0.326 0.988 0.050
Ce5 0.417 0.578 0.810
Ce6 0.422 0.190 0.583
Ce7 0.578 0.810 0.417
Ce8 0.583 0.422 0.190
Ce9 0.674 0.012 0.950
Ce10 0.810 0.417 0.578
Ce11 0.950 0.674 0.012
Ce12 0.988 0.050 0.326
Co1 0.000 0.000 0.000
Pt1 0.125 0.318 0.636
Pt2 0.318 0.636 0.125
Pt3 0.364 0.875 0.682
Pt4 0.636 0.125 0.318
Pt5 0.682 0.364 0.875
Pt6 0.875 0.682 0.364

Entry 2:
This record from Alexandria describes a relaxed structure of Ce3CoPt. The functional is GGA-PBE.

## Properties
- E_tot: -0.246 Ha/atom
- Energy of formation: -0.51 eV/atom
- Space-group type: P2_1/m, No. 11
- Relative energy among the computed polymorphs: 0 meV per atom
- D(E_F): 2.5526 states/eV per atom
- Calculated density: 9.8 g/cm³
- Total magnetic moment: 3.162 μB/cell

Cell lengths 7.493, 4.480, 7.593 Å; angles 90.00, 116.08, 90.00 degrees
Positions (direct):
Ce1 0.101 0.250 0.229
Ce2 0.291 0.250 0.835
Ce3 0.386 0.750 0.560
Ce4 0.614 0.250 0.440
Ce5 0.709 0.750 0.165
Ce6 0.899 0.750 0.771
Co1 0.069 0.750 0.502
Co2 0.931 0.250 0.498
Pt1 0.298 0.750 0.104
Pt2 0.702 0.250 0.896

Entry 3:
This record from Alexandria describes a relaxed structure of Ce4CoPt. The functional is GGA-PBE.

## Properties
- E_tot: -0.239 Ha/atom
- Energy of formation: -0.36 eV/atom
- Space-group type: Cmcm, No. 63
- Relative energy among the computed polymorphs: 37 meV per atom
- D(E_F): 2.4022 states/eV per atom
- Calculated density: 9.3 g/cm³
- Total magnetic moment: 1.962 μB/cell

Cell lengths 10.208, 10.208, 6.243 Å; angles 90.00, 90.00, 153.46 degrees
Positions (direct):
Ce1 0.058 0.942 0.750
Ce2 0.206 0.794 0.023
Ce3 0.206 0.794 0.477
Ce4 0.416 0.584 0.750
Ce5 0.584 0.416 0.250
Ce6 0.794 0.206 0.523
Ce7 0.794 0.206 0.977
Ce8 0.942 0.058 0.250
Co1 0.079 0.921 0.250
Co2 0.921 0.079 0.750
Pt1 0.348 0.652 0.250
Pt2 0.652 0.348 0.750

Entry 4:
This record from Alexandria describes a relaxed structure of Ce4Co2Pt. The functional is GGA-PBE.

## Properties
- E_tot: -0.243 Ha/atom
- Energy of formation: -0.34 eV/atom
- Space-group type: I4_1/amd, No. 141
- Relative energy among the computed polymorphs: 68 meV per atom
- D(E_F): 2.1168 states/eV per atom
- Calculated density: 8.7 g/cm³
- Total magnetic moment: 2.005 μB/cell

Cell lengths 7.575, 7.575, 7.575 Å; angles 109.41, 109.41, 109.60 degrees
Positions (direct):
Ce1 0.207 0.270 0.564
Ce2 0.207 0.643 0.936
Ce3 0.270 0.207 0.064
Ce4 0.357 0.793 0.564
Ce5 0.643 0.207 0.436
Ce6 0.730 0.793 0.936
Ce7 0.793 0.357 0.064
Ce8 0.793 0.730 0.436
Co1 0.000 0.500 0.500
Co2 0.500 0.000 0.000
Co3 0.500 0.500 0.000
Co4 0.500 0.500 0.500
Pt1 0.125 0.875 0.250
Pt2 0.875 0.125 0.750

The highest D(E_F) belongs to which entry?
Ce12CoPt6

What did the third record say?
This record from Alexandria describes a relaxed structure of Ce4CoPt. The functional is GGA-PBE.

## Properties
- E_tot: -0.239 Ha/atom
- Energy of formation: -0.36 eV/atom
- Space-group type: Cmcm, No. 63
- Relative energy among the computed polymorphs: 37 meV per atom
- D(E_F): 2.4022 states/eV per atom
- Calculated density: 9.3 g/cm³
- Total magnetic moment: 1.962 μB/cell

Cell lengths 10.208, 10.208, 6.243 Å; angles 90.00, 90.00, 153.46 degrees
Positions (direct):
Ce1 0.058 0.942 0.750
Ce2 0.206 0.794 0.023
Ce3 0.206 0.794 0.477
Ce4 0.416 0.584 0.750
Ce5 0.584 0.416 0.250
Ce6 0.794 0.206 0.523
Ce7 0.794 0.206 0.977
Ce8 0.942 0.058 0.250
Co1 0.079 0.921 0.250
Co2 0.921 0.079 0.750
Pt1 0.348 0.652 0.250
Pt2 0.652 0.348 0.750

D(E_F) of number 3 (Ce4CoPt)?
2.4022 states/eV per atom

energy of formation of number 3 (Ce4CoPt)?
-0.36 eV/atom